Material: TcAsW
Method: DFT, GGA-PBE
State: relaxed

VASP energy   -9.24 eV/atom
ΔE_f   0.087 eV per atom
Space group   No. 107
DOS at the Fermi energy   0.61 states/eV per atom

a b c (Å): 5.4519 5.4519 5.4519
angles (deg): 148.14 148.14 45.68
Sites, in units of the cell vectors:
W  0.6628  0.6628  0.0000
As  0.9930  0.9930  0.0000
Tc  0.3442  0.3442  0.0000